# 1
Density functional theory data (meta-GGA SCAN) for a PBEsol-optimized structure of SiAu2BrF.

It has space group P4/mmm (No. 123), with a = 4.852 Å, b = 4.852 Å, c = 3.856 Å, α = 90.00°, β = 90.00° and γ = 90.00°. The inequivalent atoms are Si at (0.000, 0.000, 0.000), Au at (0.000, 0.500, 0.000), Br at (0.500, 0.500, 0.500) and F at (0.000, 0.000, 0.500).

Its calculated volume is 18.159 Å³ per atom. Its uncorrected formation energy is -386 meV/atom.

---

# 2
Density functional theory data (meta-GGA SCAN) for a PBEsol-optimized structure of Sc2NbSi2.

It has space group I4/mmm (No. 139), with a = 3.344 Å, b = 3.344 Å, c = 17.004 Å, α = 90.00°, β = 90.00° and γ = 90.00°. The inequivalent atoms are Sc at (0.000, 0.000, 0.115), Nb at (0.000, 0.000, 0.500) and Si at (0.000, 0.500, 0.250).

Its calculated volume is 19.011 Å³ per atom. Its uncorrected formation energy is 65 meV/atom.

---

# 3
Density functional theory data (meta-GGA SCAN) for a PBEsol-optimized structure of ZrTcRh.

It has space group F-43m (No. 216), with a = 6.048 Å, b = 6.048 Å, c = 6.048 Å, α = 90.00°, β = 90.00° and γ = 90.00°. The inequivalent atoms are Zr at (0.000, 0.000, 0.000), Tc at (0.250, 0.250, 0.250) and Rh at (0.250, 0.250, 0.750).

Its calculated volume is 18.436 Å³ per atom. The formation energy is 0.518 eV per atom.

---

# 4
Density functional theory data (meta-GGA SCAN) for a PBEsol-optimized structure of La2SiBW.

It has space group P4/mmm (No. 123), with a = 5.519 Å, b = 5.519 Å, c = 4.529 Å, α = 90.00°, β = 90.00° and γ = 90.00°. The inequivalent atoms are La at (0.000, 0.500, 0.000), Si at (0.000, 0.000, 0.000), B at (0.500, 0.500, 0.500) and W at (0.000, 0.000, 0.500).

Its calculated volume is 27.585 Å³ per atom. Its uncorrected formation energy is 1109 meV/atom.

---

# 5
Density functional theory data (meta-GGA SCAN) for a PBEsol-optimized structure of BSe3O.

It has space group Pm-3m (No. 221), with a = 4.385 Å, b = 4.385 Å, c = 4.385 Å, α = 90.00°, β = 90.00° and γ = 90.00°. The inequivalent atoms are B at (0.000, 0.000, 0.000), Se at (0.000, 0.500, 0.500) and O at (0.500, 0.500, 0.500).

Its calculated volume is 16.866 Å³ per atom. Its uncorrected formation energy is 1303 meV/atom.

---

# 6
Density functional theory data (meta-GGA SCAN) for a PBEsol-optimized structure of CaCr2P.

It has space group Imm2 (No. 44), with a = 3.693 Å, b = 3.984 Å, c = 9.592 Å, α = 90.00°, β = 90.00° and γ = 90.00°. The inequivalent atoms are Ca at (0.000, 0.000, 0.000), Cr at (0.000, 0.000, 0.619), Cr at (0.000, 0.500, 0.766) and P at (0.000, 0.500, 0.263).

Its calculated volume is 17.640 Å³ per atom. The formation energy is -0.031 eV per atom.

---

# 7
Density functional theory data (meta-GGA SCAN) for a PBEsol-optimized structure of Zr3SI.

It has space group Pm-3m (No. 221), with a = 4.833 Å, b = 4.833 Å, c = 4.833 Å, α = 90.00°, β = 90.00° and γ = 90.00°. The inequivalent atoms are Zr at (0.000, 0.000, 0.500), S at (0.000, 0.000, 0.000) and I at (0.500, 0.500, 0.500).

Its calculated volume is 22.573 Å³ per atom. Its uncorrected formation energy is -213 meV/atom.

---

# 8
Density functional theory data (meta-GGA SCAN) for a PBEsol-optimized structure of NaLi2As2.

It has space group P4/mbm (No. 127), with a = 7.964 Å, b = 7.964 Å, c = 2.770 Å, α = 90.00°, β = 90.00° and γ = 90.00°. The inequivalent atoms are Na at (0.000, 0.000, 0.000), Li at (0.125, 0.375, 0.500) and As at (0.168, 0.668, 0.000).

Its calculated volume is 17.570 Å³ per atom. The formation energy is -0.534 eV per atom.